ZnHg2Pd6, optimized geometry, DFT GGA-PBE; calculated formation energy = -0.117 eV/atom
1.0
2.867 0.000 -0.103
0.000 7.736 0.000
-1.186 -3.868 7.022
Pd Hg Zn
6 2 1
direct
0.835 0.653 0.668
0.165 0.347 0.332
0.165 0.984 0.332
0.500 0.719 0.000
0.500 0.281 0.000
0.835 0.016 0.668
0.658 0.660 0.319
0.342 0.340 0.681
0.000 0.000 0.000

=====

In2SbAu2, optimized geometry, DFT GGA-PBE; calculated total energy = -3.211 eV/atom
1.0
-2.079 -2.280 7.773
1.626 -7.979 -1.905
3.167 0.414 0.969
Au In Sb
4 4 2
direct
0.123 0.623 0.500
0.877 0.377 0.500
0.623 0.877 0.500
0.377 0.123 0.500
0.327 0.827 0.000
0.173 0.327 0.000
0.673 0.173 0.000
0.827 0.673 0.000
0.500 0.500 0.000
0.000 0.000 0.000

=====

CeSmPuPa, optimized geometry, DFT GGA-PBE; calculated formation energy = 0.327 eV/atom
1.0
5.385 0.000 0.000
2.693 4.664 0.000
2.693 1.555 4.397
Pu Ce Pa Sm
1 1 1 1
direct
0.500 0.500 0.500
0.000 0.000 0.000
0.750 0.750 0.750
0.250 0.250 0.250

=====

SrAg3Sn3, optimized geometry, DFT GGA-PBE; calculated formation energy = 0.097 eV/atom
1.0
-7.545 -0.211 1.248
0.226 -7.647 0.071
1.245 0.107 7.547
Sn Ag Sr
6 6 2
direct
0.000 0.500 0.750
0.500 0.750 0.000
0.500 0.250 0.000
0.250 0.000 0.500
0.000 0.500 0.250
0.750 0.000 0.500
0.250 0.500 0.000
0.500 0.000 0.250
0.000 0.250 0.500
0.500 0.000 0.750
0.000 0.750 0.500
0.750 0.500 0.000
0.000 0.000 0.000
0.500 0.500 0.500

=====

SmThIn6, optimized geometry, DFT GGA-PBE; calculated formation energy = -0.408 eV/atom
1.0
4.713 0.000 0.000
0.000 4.713 0.000
0.000 0.000 9.431
In Sm Th
6 1 1
direct
0.500 0.500 0.000
0.000 0.500 0.254
0.500 0.000 0.254
0.000 0.500 0.746
0.500 0.500 0.500
0.500 0.000 0.746
0.000 0.000 0.500
0.000 0.000 0.000

=====

Cs2Nd2HfTe6, optimized geometry, DFT GGA-PBE; calculated total energy = -4.882 eV/atom
1.0
7.707 0.001 0.037
-3.808 6.700 0.037
-1.424 -2.448 9.118
Cs Te Hf Nd
2 6 1 2
direct
0.827 0.173 0.000
0.173 0.827 0.000
0.070 0.376 0.689
0.758 0.758 0.687
0.242 0.242 0.313
0.376 0.070 0.689
0.624 0.930 0.311
0.930 0.624 0.311
0.000 0.000 0.500
0.668 0.332 0.500
0.332 0.668 0.500

=====

Rb2HF, optimized geometry, DFT GGA-PBE; calculated total energy = -2.983 eV/atom
1.0
4.584 0.000 0.000
2.292 3.970 0.000
2.292 1.323 8.156
Rb H F
2 1 1
direct
0.900 0.900 0.299
0.100 0.100 0.701
0.500 0.500 0.500
0.000 0.000 0.000

=====

AcPm2Y7, optimized geometry, DFT GGA-PBE; calculated formation energy = 0.027 eV/atom
1.0
-0.661 1.097 6.141
0.972 -7.555 -2.828
6.561 7.428 5.762
Y Ac Pm
7 1 2
direct
0.499 0.696 0.797
0.000 0.200 0.798
0.500 0.500 0.000
0.000 0.800 0.202
0.000 0.604 0.402
0.000 0.396 0.598
0.501 0.304 0.203
0.000 0.000 0.000
0.498 0.100 0.402
0.502 0.900 0.598

=====

Li2AgAu, optimized geometry, DFT GGA-PBE; calculated formation energy = -0.385 eV/atom
1.0
-3.384 6.291 0.673
-1.381 -4.101 0.825
-0.828 0.880 2.976
Li Au Ag
2 1 1
direct
0.000 0.000 0.000
0.500 0.000 0.500
0.500 0.500 0.000
0.000 0.500 0.500

=====

Tm2ThIn3Te6, optimized geometry, DFT GGA-PBE; calculated total energy = -4.486 eV/atom
1.0
-5.136 -3.360 4.409
7.124 0.757 2.404
-2.566 8.162 1.069
Te In Tm Th
6 3 2 1
direct
0.732 0.732 0.219
0.586 0.926 0.779
0.414 0.074 0.221
0.074 0.414 0.221
0.268 0.268 0.781
0.926 0.586 0.779
0.836 0.164 0.500
0.164 0.836 0.500
0.500 0.500 0.500
0.667 0.333 0.000
0.333 0.667 0.000
0.000 0.000 0.000

=====

ZrMn9Mo2, optimized geometry, DFT GGA-PBE; calculated formation energy = -0.041 eV/atom
1.0
4.546 0.000 1.353
2.072 4.046 1.353
0.015 0.009 8.262
Mn Mo Zr
9 2 1
direct
0.408 0.408 0.257
0.592 0.592 0.743
0.661 0.661 0.017
0.592 0.074 0.743
0.926 0.408 0.257
0.074 0.592 0.743
0.408 0.926 0.257
0.500 0.500 0.500
0.339 0.339 0.983
0.859 0.859 0.422
0.141 0.141 0.578
0.000 0.000 0.000

=====

ScCdRe2, optimized geometry, DFT GGA-PBE; calculated formation energy = 1.065 eV/atom
1.0
7.528 0.000 0.000
0.000 7.528 0.000
3.764 3.764 2.676
Sc Re Cd
2 4 2
direct
0.250 0.750 0.500
0.500 0.500 0.000
0.375 0.367 0.750
0.633 0.125 0.250
0.117 0.625 0.250
0.875 0.883 0.750
0.000 0.000 0.000
0.750 0.250 0.500